Compound: NdEuTmIn
Source: Alexandria via LeMat-Bulk
Functional: PBE-GGA
Structure: relaxed

## Properties
Its formation energy from the elements is -0.121 eV per atom.

```
data_NdEuTmIn
_cell_length_a 7.850
_cell_length_b 7.850
_cell_length_c 7.850
_cell_angle_alpha 90.00
_cell_angle_beta 90.00
_cell_angle_gamma 90.00
_symmetry_space_group_name_H-M 'F -4 3 m'
_symmetry_Int_Tables_number 216
_symmetry_space_group_name_Hall 'F -4 2 3'
loop_
_atom_site_label
_atom_site_type_symbol
_atom_site_fract_x
_atom_site_fract_y
_atom_site_fract_z
Nd1 Nd 0.000 0.000 0.000
Eu1 Eu 0.250 0.250 0.250
Tm1 Tm 0.000 0.000 0.500
In1 In 0.250 0.250 0.750
```

Compound: CaBePt
Source: Alexandria via LeMat-Bulk
Functional: PBE-GGA
Structure: relaxed

## Properties
Its energy above the most stable polymorph in this dataset is 27 meV per atom. Its formation energy from the elements is -0.659 eV per atom.

```
data_CaBePt
_cell_length_a 10.599
_cell_length_b 3.822
_cell_length_c 6.959
_cell_angle_alpha 90.00
_cell_angle_beta 123.47
_cell_angle_gamma 90.00
_symmetry_space_group_name_H-M 'C 1 2/m 1'
_symmetry_Int_Tables_number 12
_symmetry_space_group_name_Hall '-C 2y'
loop_
_atom_site_label
_atom_site_type_symbol
_atom_site_fract_x
_atom_site_fract_y
_atom_site_fract_z
Ca1 Ca 0.073 0.000 0.307
Be1 Be 0.241 0.500 0.089
Pt1 Pt 0.150 0.500 0.706
```

Compound: La5AgTe8
Source: Alexandria via LeMat-Bulk
Functional: PBE-GGA
Structure: relaxed

## Properties
For the energy relative to the elements, uncorrected, the calculation gives -1.421 eV per atom.

```
data_La5AgTe8
_cell_length_a 9.573
_cell_length_b 9.573
_cell_length_c 9.835
_cell_angle_alpha 90.00
_cell_angle_beta 90.00
_cell_angle_gamma 90.00
_symmetry_space_group_name_H-M 'I -4'
_symmetry_Int_Tables_number 82
_symmetry_space_group_name_Hall 'I -4'
loop_
_atom_site_label
_atom_site_type_symbol
_atom_site_fract_x
_atom_site_fract_y
_atom_site_fract_z
La1 La 0.000 0.000 0.000
La2 La 0.127 0.248 0.618
Ag1 Ag 0.000 0.500 0.250
Te1 Te 0.069 0.185 0.292
Te2 Te 0.079 0.321 0.937
```

Compound: CeAs2Au4
Source: Alexandria via LeMat-Bulk
Functional: PBE-GGA
Structure: relaxed

## Properties
Its formation energy from the elements is -0.341 eV per atom.

```
data_CeAs2Au4
_cell_length_a 8.006
_cell_length_b 8.006
_cell_length_c 4.507
_cell_angle_alpha 90.00
_cell_angle_beta 90.00
_cell_angle_gamma 90.00
_symmetry_space_group_name_H-M 'P 42/m n m'
_symmetry_Int_Tables_number 136
_symmetry_space_group_name_Hall '-P 4n 2n'
loop_
_atom_site_label
_atom_site_type_symbol
_atom_site_fract_x
_atom_site_fract_y
_atom_site_fract_z
Ce1 Ce 0.000 0.000 0.000
As1 As 0.219 0.219 0.500
Au1 Au 0.086 0.662 0.500
```

Compound: Pm3Cu3Sb4
Source: Alexandria via LeMat-Bulk
Functional: PBE-GGA
Structure: relaxed

## Properties
For the energy relative to the elements, uncorrected, the calculation gives -0.770 eV per atom.

```
data_Pm3Cu3Sb4
_cell_length_a 9.734
_cell_length_b 9.734
_cell_length_c 9.734
_cell_angle_alpha 90.00
_cell_angle_beta 90.00
_cell_angle_gamma 90.00
_symmetry_space_group_name_H-M 'I -4 3 d'
_symmetry_Int_Tables_number 220
_symmetry_space_group_name_Hall 'I -4bd 2c 3'
loop_
_atom_site_label
_atom_site_type_symbol
_atom_site_fract_x
_atom_site_fract_y
_atom_site_fract_z
Pm1 Pm 0.000 0.250 0.375
Cu1 Cu 0.000 0.250 0.875
Sb1 Sb 0.080 0.080 0.080
```

Compound: NpCuH6Ru
Source: Alexandria via LeMat-Bulk
Functional: PBE-GGA
Structure: relaxed

```
data_NpCuH6Ru
_cell_length_a 4.5448
_cell_length_b 4.5448
_cell_length_c 4.2580
_cell_angle_alpha 90.00
_cell_angle_beta 90.00
_cell_angle_gamma 120.00
_symmetry_space_group_name_H-M 'P -6 m 2'
_symmetry_Int_Tables_number 187
_symmetry_space_group_name_Hall 'P -6 2'
loop_
_atom_site_label
_atom_site_type_symbol
_atom_site_fract_x
_atom_site_fract_y
_atom_site_fract_z
Np1 Np 0.0000 0.0000 0.0000
Cu1 Cu 0.3333 0.6667 0.5000
H1 H 0.5050 0.0101 0.2248
Ru1 Ru 0.6667 0.3333 0.5000
```

Compound: Ac2CdInPt
Source: Alexandria via LeMat-Bulk
Functional: PBE-GGA
Structure: relaxed

## Properties
Its formation energy from the elements is -0.679 eV per atom.

```
data_Ac2CdInPt
_cell_length_a 8.206
_cell_length_b 4.720
_cell_length_c 8.237
_cell_angle_alpha 90.00
_cell_angle_beta 109.39
_cell_angle_gamma 90.00
_symmetry_space_group_name_H-M 'P 1 21/m 1'
_symmetry_Int_Tables_number 11
_symmetry_space_group_name_Hall '-P 2yb'
loop_
_atom_site_label
_atom_site_type_symbol
_atom_site_fract_x
_atom_site_fract_y
_atom_site_fract_z
Ac1 Ac 0.112 0.250 0.337
Ac2 Ac 0.292 0.250 0.966
Cd1 Cd 0.446 0.750 0.338
In1 In 0.326 0.750 0.661
Pt1 Pt 0.106 0.750 0.086
```

Compound: FeAu
Source: Alexandria via LeMat-Bulk
Functional: PBE-GGA
Structure: relaxed

## Properties
Its formation energy from the elements is 1.046 eV per atom.

```
data_FeAu
_cell_length_a 5.733
_cell_length_b 5.733
_cell_length_c 5.733
_cell_angle_alpha 90.00
_cell_angle_beta 90.00
_cell_angle_gamma 90.00
_symmetry_space_group_name_H-M 'F -4 3 m'
_symmetry_Int_Tables_number 216
_symmetry_space_group_name_Hall 'F -4 2 3'
loop_
_atom_site_label
_atom_site_type_symbol
_atom_site_fract_x
_atom_site_fract_y
_atom_site_fract_z
Fe1 Fe 0.000 0.000 0.000
Au1 Au 0.250 0.250 0.750
```

Compound: Si3Te
Source: Alexandria via LeMat-Bulk
Functional: PBE-GGA
Structure: relaxed

## Properties
Its energy above the most stable polymorph in this dataset is 340 meV per atom. For the energy relative to the elements, uncorrected, the calculation gives 0.618 eV per atom.

```
data_Si3Te
_cell_length_a 3.350
_cell_length_b 4.621
_cell_length_c 9.858
_cell_angle_alpha 90.00
_cell_angle_beta 90.00
_cell_angle_gamma 90.00
_symmetry_space_group_name_H-M 'I m m m'
_symmetry_Int_Tables_number 71
_symmetry_space_group_name_Hall '-I 2 2'
loop_
_atom_site_label
_atom_site_type_symbol
_atom_site_fract_x
_atom_site_fract_y
_atom_site_fract_z
Si1 Si 0.000 0.000 0.000
Si2 Si 0.000 0.500 0.294
Te1 Te 0.000 0.000 0.500
```

Compound: Nd7BCl12
Source: Alexandria via LeMat-Bulk
Functional: PBE-GGA
Structure: relaxed

## Properties
For the energy relative to the elements, uncorrected, the calculation gives -1.901 eV per atom.

```
data_Nd7BCl12
_cell_length_a 14.4897
_cell_length_b 14.4897
_cell_length_c 9.8626
_cell_angle_alpha 90.00
_cell_angle_beta 90.00
_cell_angle_gamma 120.00
_symmetry_space_group_name_H-M 'R -3'
_symmetry_Int_Tables_number 148
_symmetry_space_group_name_Hall '-R 3'
loop_
_atom_site_label
_atom_site_type_symbol
_atom_site_fract_x
_atom_site_fract_y
_atom_site_fract_z
Nd1 Nd 0.0000 0.0000 0.0000
Nd2 Nd 0.0428 0.8765 0.3458
B1 B 0.0000 0.0000 0.5000
Cl1 Cl 0.0261 0.4410 0.1629
Cl2 Cl 0.0462 0.8685 0.8383
```

Compound: DyHoCoRu
Source: Alexandria via LeMat-Bulk
Functional: PBE-GGA
Structure: relaxed

## Properties
Its energy above the most stable polymorph in this dataset is 0 meV per atom. Its formation energy from the elements is -0.261 eV per atom.

```
data_DyHoCoRu
_cell_length_a 3.379
_cell_length_b 3.379
_cell_length_c 6.661
_cell_angle_alpha 90.00
_cell_angle_beta 90.00
_cell_angle_gamma 90.00
_symmetry_space_group_name_H-M 'P 4 m m'
_symmetry_Int_Tables_number 99
_symmetry_space_group_name_Hall 'P 4 -2'
loop_
_atom_site_label
_atom_site_type_symbol
_atom_site_fract_x
_atom_site_fract_y
_atom_site_fract_z
Dy1 Dy 0.000 0.000 0.000
Ho1 Ho 0.000 0.000 0.503
Co1 Co 0.500 0.500 0.751
Ru1 Ru 0.500 0.500 0.253
```

Compound: Ti3MoAu
Source: Alexandria via LeMat-Bulk
Functional: PBE-GGA
Structure: relaxed

## Properties
Its energy above the most stable polymorph in this dataset is 1457 meV per atom. Its formation energy from the elements is 1.216 eV per atom.

```
data_Ti3MoAu
_cell_length_a 4.812
_cell_length_b 4.812
_cell_length_c 4.812
_cell_angle_alpha 90.00
_cell_angle_beta 90.00
_cell_angle_gamma 90.00
_symmetry_space_group_name_H-M 'P m -3 m'
_symmetry_Int_Tables_number 221
_symmetry_space_group_name_Hall '-P 4 2 3'
loop_
_atom_site_label
_atom_site_type_symbol
_atom_site_fract_x
_atom_site_fract_y
_atom_site_fract_z
Ti1 Ti 0.000 0.000 0.500
Mo1 Mo 0.500 0.500 0.500
Au1 Au 0.000 0.000 0.000
```

Across the entries above, calculated total energy takes the values -90.945 -54.983 -145.024 -61.456 -202.933 -46.944 -42.617 -38.590 -33.877 -300.691 -26.604 -31.713 eV/cell, respectively.